No. 1
Computed, not measured: TiNbTl2 after structural relaxation at the PBE level of DFT.

Summary:
For the energy of formation from the pure elements, the calculation gives 2.3 eV/f.u. The crystal system is tetragonal. The calculation puts the total moment at 0.000 μB/cell.

abc: 7.710 7.710 6.212
angles: 51.64 51.64 90.00
Element x y z (fractional)
Tl 0.619 0.125 0.250
Tl 0.131 0.625 0.250
Tl 0.375 0.381 0.750
Tl 0.875 0.869 0.750
Nb 0.000 0.000 0.000
Nb 0.750 0.250 0.500
Ti 0.500 0.500 0.000
Ti 0.250 0.750 0.500


No. 2
Computed, not measured: CoPtSeBr2 after structural relaxation at the PBE level of DFT.

Summary:
The crystal system is tetragonal. The calculation puts the total moment at 0.483 μB/cell. The value obtained for the energy relative to the elements, uncorrected is 737 meV/atom.

abc: 4.918 4.918 4.464
angles: 90.00 90.00 90.00
Element x y z (fractional)
Co 0.000 0.000 0.000
Se 0.000 0.000 0.500
Br 0.000 0.500 0.000
Br 0.500 0.000 0.000
Pt 0.500 0.500 0.500